(1)
The following is a DFT calculation (GGA-PBEsol) of crystalline SrLiCl2 at its relaxed geometry.

Energy relative to the lowest polymorph listed for this composition ... 60.8 meV/atom
ΔE_f (raw) ... -1.57 eV/atom

Lattice parameters (Å, degrees): 6.172 6.172 7.457 114.44 114.44 90.00
Site moments in Bohr magnetons follow the coordinates.
Positions (direct):
Sr: 0.250 0.750 0.500  0.11
Sr: 0.000 0.000 0.000  0.11
Li: 0.750 0.250 0.500  0.00
Li: 0.500 0.500 0.000  0.00
Cl: 0.452 0.875 0.250  0.02
Cl: 0.798 0.375 0.250  0.02
Cl: 0.125 0.202 0.750  0.02
Cl: 0.625 0.548 0.750  0.02

---

(2)
The following is a DFT calculation (GGA-PBEsol) of crystalline Y2NiMo at its relaxed geometry.

E_form ... 252 meV/atom
Energy relative to the lowest polymorph listed for this composition ... 82.5 meV/atom

Lattice parameters (Å, degrees): 4.781 4.781 4.781 60.00 60.00 60.00
Positions (direct):
Mo: 0.000 0.000 0.000
Ni: 0.500 0.500 0.500
Y: 0.250 0.250 0.250
Y: 0.750 0.750 0.750

---

(3)
The following is a DFT calculation (GGA-PBEsol) of crystalline Tl2AsOs at its relaxed geometry.

E_form ... 922 meV/atom

Lattice parameters (Å, degrees): 3.355 4.637 5.082 90.00 90.00 90.00
Positions (direct):
Tl: 0.000 0.000 0.000
Tl: 0.500 0.000 0.500
Os: 0.000 0.500 0.500
As: 0.500 0.500 0.000

---

For the records above, the corresponding size of the total moment values read 0.74 0.00 0.00 μB/f.u..
For the records above, the corresponding uncorrected energy values read -3.526 -7.640 -4.723 eV/atom.